# 1
An optimized crystal structure of Ce6AsS5, computed with PBE.

* uncorrected formation energy: -1939 meV/atom

abc: 7.0184 12.1615 7.0213
angles: 90.00 109.50 90.00
Space group C2/m (No. 12)
Asymmetric unit:
Ce (0.2454, 0.0000, 0.2529) x4
Ce (0.2458, 0.1694, 0.7458) x8
As (0.0000, 0.5000, 0.0000) x2
S (0.0000, 0.0000, 0.5000) x2
S (0.0000, 0.1670, 0.0000) x4
S (0.0000, 0.3362, 0.5000) x4

---

# 2
An optimized crystal structure of CeAsS2, computed with PBE.

* uncorrected formation energy: -243 meV/atom

abc: 3.6711 3.6711 25.3891
angles: 90.00 90.00 120.00
Space group R-3m (No. 166, hexagonal axes)
Asymmetric unit:
Ce (0.0000, 0.0000, 0.0000) x3
As (0.0000, 0.0000, 0.5000) x3
S (0.0000, 0.0000, 0.1095) x6

---

# 3
An optimized crystal structure of Ce5As5S, computed with PBE.

* uncorrected formation energy: -1267 meV/atom

abc: 13.1895 5.8677 8.3802
angles: 90.00 108.55 90.00
Space group C2/m (No. 12)
Asymmetric unit:
Ce (0.0000, 0.0000, 0.0000) x2
Ce (0.1601, 0.5000, 0.8287) x4
Ce (0.1651, 0.5000, 0.3349) x4
As (0.0000, 0.5000, 0.5000) x2
As (0.1709, 0.0000, 0.8428) x4
As (0.1720, 0.0000, 0.3297) x4
S (0.0000, 0.5000, 0.0000) x2

---

# 4
An optimized crystal structure of Ce3AsS3, computed with PBE.

* excess energy over the best structure of this formula in the dataset: 0.0 meV per atom
* uncorrected formation energy: -1837 meV/atom

abc: 8.6016 12.2104 7.4234
angles: 90.00 125.37 90.00
Space group Cc (No. 9)
Asymmetric unit:
Ce (0.0000, 0.0634, 0.0000) x4
Ce (0.0559, 0.3728, 0.8737) x4
Ce (0.3679, 0.1870, 0.7467) x4
As (0.2306, 0.4231, 0.6234) x4
S (0.2089, 0.2504, 0.2741) x4
S (0.3078, 0.0008, 0.4727) x4
S (0.4832, 0.3258, 0.1245) x4

---

# 5
An optimized crystal structure of Ce6As5S, computed with PBE.

* uncorrected formation energy: -1528 meV/atom

abc: 7.2614 12.5730 7.2585
angles: 90.00 109.48 90.00
Space group C2/m (No. 12)
Asymmetric unit:
Ce (0.2466, 0.0000, 0.2515) x4
Ce (0.2473, 0.1647, 0.7477) x8
As (0.0000, 0.1681, 0.0000) x4
As (0.0000, 0.3335, 0.5000) x4
As (0.0000, 0.5000, 0.0000) x2
S (0.0000, 0.0000, 0.5000) x2

---

# 6
An optimized crystal structure of Ce2AsS4, computed with PBE.

* uncorrected formation energy: -1225 meV/atom

abc: 7.0453 5.6608 8.2681
angles: 90.00 113.26 90.00
Space group P2_1/m (No. 11)
Asymmetric unit:
Ce (0.2028, 0.2500, 0.0749) x2
Ce (0.2920, 0.2500, 0.5866) x2
As (0.2600, 0.7500, 0.1776) x2
S (0.0163, 0.5178, 0.7276) x4
S (0.4583, 0.7500, 0.6131) x2
S (0.4849, 0.7500, 0.0429) x2